(1)
# TaAgF3

TaAgF3 after structural relaxation (PBE-GGA, Alexandria via LeMat-Bulk).

E above lowest polymorph = 0.0000 eV/atom
E_form (uncorrected) = -1450 meV per atom

Cell lengths 4.2538, 4.2538, 4.2538 Å; angles 90.00, 90.00, 90.00 degrees
Space group Pm-3m (No. 221)
Symmetry-distinct sites (fractional):
Ta1 0.0000 0.0000 0.0000 [1 per cell]
Ag1 0.5000 0.5000 0.5000 [1 per cell]
F1 0.0000 0.0000 0.5000 [3 per cell]

=====

(2)
# CeSmMg4

CeSmMg4 after structural relaxation (PBE-GGA, Alexandria via LeMat-Bulk).

DFT formation energy = -0.0385 eV/atom

Cell lengths 8.5948, 8.5948, 8.5948 Å; angles 90.00, 90.00, 90.00 degrees
Space group F-43m (No. 216)
Symmetry-distinct sites (fractional):
Ce1 0.0000 0.0000 0.0000 [4 per cell]
Sm1 0.2500 0.2500 0.2500 [4 per cell]
Mg1 0.1248 0.1248 0.6248 [16 per cell]

=====

(3)
# SrMn2Tc

SrMn2Tc after structural relaxation (PBE-GGA, Alexandria via LeMat-Bulk).

E above lowest polymorph = 0.0000 eV/atom
DFT formation energy = 0.4040 eV/atom

Cell lengths 4.2077, 4.2077, 16.9503 Å; angles 90.00, 90.00, 120.00 degrees
Space group R-3m (No. 166, hexagonal axes)
Symmetry-distinct sites (fractional):
Sr1 0.0000 0.0000 0.0000 [3 per cell]
Mn1 0.0000 0.0000 0.1941 [6 per cell]
Tc1 0.0000 0.0000 0.5000 [3 per cell]